{"formula": "CrCdI3", "functional": "PBE-GGA", "state": "relaxed", "lattice_angstrom": [[5.577, 0.000, 0.000], [0.000, 5.577, 0.000], [0.000, 0.000, 5.577]], "species": ["Cd", "Cr", "I", "I", "I"], "frac_coords": [[0.500, 0.500, 0.500], [0.000, 0.000, 0.000], [0.000, 0.000, 0.500], [0.000, 0.500, 0.000], [0.500, 0.000, 0.000]], "raw_formation_energy_ev_per_atom": -0.054, "sg": "No. 221", "m_tot_mub_per_atom": 0.6519, "dft_energy_ev_per_cell": -15.5, "de_polymorph_mev_per_atom": 0}